This record from Alexandria via LeMat-Bulk describes a relaxed PrPd4Pt crystal. The functional is PBE.

extended XYZ file:
```
6
Lattice="-4.845 2.090 0.929 -3.744 -2.917 2.486 -1.472 1.232 5.002" Properties=species:S:1:pos:R:3 pbc="T T T"
Pr 0.000 0.000 0.000
Pd -5.548 -0.358 2.771
Pd -4.421 1.700 4.019
Pd -6.278 0.253 5.253
Pd -3.875 -0.784 4.792
Pt -2.515 0.101 2.104
```

Output
- Magnetic moment: 0.000 μB/f.u.
- E_form: -43 kJ per mole of atoms
- Final energy: -5.714 eV per atom
- DOS(E_F): 8.45 states/eV/cell
- SG: F-43m (216)

This record from Alexandria via LeMat-Bulk describes a relaxed PrPd4Pt2 crystal. The functional is PBE.

extended XYZ file:
```
7
Lattice="4.726 -0.006 2.518 2.193 4.809 1.560 0.087 -0.353 5.498" Properties=species:S:1:pos:R:3 pbc="T T T"
Pr 0.000 0.000 0.000
Pd 4.712 2.504 8.195
Pd 2.293 1.946 1.381
Pd 5.565 4.594 6.600
Pd 1.441 -0.144 2.976
Pt 4.684 2.223 5.417
Pt 2.321 2.227 4.159
```

Output
- Magnetic moment: 0.000 μB/f.u.
- E_form: -49 kJ per mole of atoms
- Final energy: -5.888 eV per atom
- DOS(E_F): 5.96 states/eV/cell
- SG: C2/m (12)

This record from Alexandria via LeMat-Bulk describes a relaxed PrPdPt2 crystal. The functional is PBE.

extended XYZ file:
```
16
Lattice="-4.738 -1.789 -1.355 1.993 -1.671 -4.761 2.823 -11.400 5.182" Properties=species:S:1:pos:R:3 pbc="T T T"
Pr 2.179 -7.205 1.895
Pr -0.593 -3.281 -3.733
Pr 2.637 -5.865 -1.474
Pr 0.672 -11.579 2.799
Pd 1.030 -9.837 -0.753
Pd -0.952 -5.023 -0.181
Pd 1.463 -4.314 0.581
Pd 3.353 -8.756 -0.160
Pt 0.000 0.000 0.000
Pt 0.039 -7.430 -0.467
Pt 2.707 -11.407 0.500
Pt -2.628 -3.453 -1.434
Pt 0.352 -12.296 -0.174
Pt -0.273 -2.563 -0.760
Pt 0.997 -0.835 -2.380
Pt -0.957 -6.594 1.913
```

Output
- Magnetic moment: 0.000 μB/f.u.
- E_form: -55 kJ per mole of atoms
- Final energy: -6.083 eV per atom
- DOS(E_F): 11.61 states/eV/cell
- SG: Pmma (51)

This record from Alexandria via LeMat-Bulk describes a relaxed PrPd12Pt7 crystal. The functional is PBE.

extended XYZ file:
```
20
Lattice="8.199 0.000 0.000 -2.733 7.730 0.000 -2.733 -3.865 6.695" Properties=species:S:1:pos:R:3 pbc="T T T"
Pr 0.000 0.000 0.000
Pd 0.694 -0.491 2.838
Pd -0.416 6.092 0.850
Pd 2.039 4.356 3.857
Pd 3.149 -2.227 5.844
Pd 2.317 1.556 0.994
Pd 4.772 5.027 0.994
Pd 0.416 2.309 5.701
Pd -2.039 -1.162 5.701
Pd 5.882 -0.083 1.844
Pd -3.149 3.948 4.851
Pd -0.694 2.212 1.844
Pd 3.428 1.653 4.851
Pt 2.733 -1.933 3.347
Pt 2.733 3.865 0.000
Pt -2.733 1.933 3.347
Pt -1.367 -1.933 3.347
Pt 4.100 0.000 0.000
Pt 1.367 1.933 3.347
Pt -1.367 3.865 0.000
```

Output
- Magnetic moment: 0.000 μB/f.u.
- E_form: 50 kJ per mole of atoms
- Final energy: -4.947 eV per atom
- DOS(E_F): 28.01 states/eV/cell
- SG: Im-3 (204)

This record from Alexandria via LeMat-Bulk describes a relaxed Pr2Pd7Pt crystal. The functional is PBE.

extended XYZ file:
```
10
Lattice="-5.966 2.681 2.292 -1.617 -0.391 6.728 0.049 5.719 3.914" Properties=species:S:1:pos:R:3 pbc="T T T"
Pr -1.883 2.002 3.233
Pr -5.650 6.007 9.700
Pd -3.767 4.005 6.467
Pd -2.672 4.664 8.546
Pd -2.696 1.815 6.597
Pd -4.838 6.194 6.337
Pd -5.667 3.151 7.738
Pd -1.867 4.859 5.195
Pd -4.862 3.346 4.388
Pt 0.000 0.000 0.000
```

Output
- Magnetic moment: 0.000 μB/f.u.
- E_form: 16 kJ per mole of atoms
- Final energy: -5.028 eV per atom
- DOS(E_F): 14.10 states/eV/cell
- SG: Fm-3m (225)

This record from Alexandria via LeMat-Bulk describes a relaxed PrPd5Pt2 crystal. The functional is PBE.

extended XYZ file:
```
8
Lattice="3.941 0.000 0.000 1.970 6.225 0.099 1.970 1.241 6.101" Properties=species:S:1:pos:R:3 pbc="T T T"
Pr 0.000 0.000 0.000
Pd 1.970 3.733 3.100
Pd 3.941 3.553 1.122
Pd 3.941 3.914 5.078
Pd 3.941 5.711 2.914
Pd 3.941 1.756 3.286
Pt 5.911 5.781 4.801
Pt 1.970 1.685 1.399
```

Output
- Magnetic moment: 0.000 μB/f.u.
- E_form: -25 kJ per mole of atoms
- Final energy: -5.615 eV per atom
- DOS(E_F): 12.33 states/eV/cell
- SG: Immm (71)

This record from Alexandria via LeMat-Bulk describes a relaxed PrPuPdPt crystal. The functional is PBE.

extended XYZ file:
```
4
Lattice="-2.728 3.479 2.473 -4.285 1.776 -2.037 -4.474 -1.255 2.018" Properties=species:S:1:pos:R:3 pbc="T T T"
Pr -5.744 2.000 1.227
Pd -2.872 1.000 0.614
Pt -8.616 3.000 1.841
Pu 0.000 0.000 0.000
```

Output
- Magnetic moment: 5.780 μB/f.u.
- E_form: -68 kJ per mole of atoms
- Final energy: -8.291 eV per atom
- DOS(E_F): 13.31 states/eV/cell
- SG: F-43m (216)

This record from Alexandria via LeMat-Bulk describes a relaxed PrPu2PdPt2 crystal. The functional is PBE.

extended XYZ file:
```
6
Lattice="5.014 0.000 0.000 -2.507 4.342 0.000 0.000 0.000 6.204" Properties=species:S:1:pos:R:3 pbc="T T T"
Pr 0.000 0.000 0.000
Pu 0.000 2.895 4.217
Pu 2.507 1.447 1.987
Pd 0.000 0.000 3.102
Pt 0.000 2.895 1.248
Pt 2.507 1.447 4.956
```

Output
- Magnetic moment: 11.263 μB/f.u.
- E_form: -69 kJ per mole of atoms
- Final energy: -9.168 eV per atom
- DOS(E_F): 23.13 states/eV/cell
- SG: P-3m1 (164)

This record from Alexandria via LeMat-Bulk describes a relaxed PrPuPdPt crystal. The functional is PBE.

extended XYZ file:
```
4
Lattice="-0.112 -3.198 -2.305 2.989 1.790 -2.629 4.118 -0.729 4.185" Properties=species:S:1:pos:R:3 pbc="T T T"
Pr 1.145 -0.656 0.855
Pu 4.407 -2.405 -0.251
Pd 2.123 -1.096 -1.956
Pt 3.326 -1.906 2.483
```

Output
- Magnetic moment: 5.653 μB/f.u.
- E_form: -75 kJ per mole of atoms
- Final energy: -8.360 eV per atom
- DOS(E_F): 12.89 states/eV/cell
- SG: Amm2 (38)

This record from Alexandria via LeMat-Bulk describes a relaxed Pr2Sb3PdPt4 crystal. The functional is PBE.

extended XYZ file:
```
10
Lattice="-4.302 1.224 0.726 -1.304 -4.316 -0.448 1.356 -1.508 10.575" Properties=species:S:1:pos:R:3 pbc="T T T"
Pr -1.808 0.231 3.033
Pr 0.362 -3.285 7.682
Sb 0.678 -0.754 5.288
Sb -0.973 -0.698 9.550
Sb -0.474 -2.356 1.164
Pd -2.125 -2.300 5.427
Pt -2.803 -1.546 0.139
Pt 0.000 0.000 0.000
Pt -1.294 -0.341 7.047
Pt -0.153 -2.713 3.667
```

Output
- Magnetic moment: 0.000 μB/f.u.
- Final energy: -5.929 eV per atom
- Formation energy (no corrections): -0.801 eV/atom
- DOS(E_F): 5.38 states/eV/cell
- SG: P-4m2 (115)

This record from Alexandria via LeMat-Bulk describes a relaxed PrSb2Pd4Pt crystal. The functional is PBE.

extended XYZ file:
```
8
Lattice="4.600 0.000 0.000 2.300 3.984 0.000 2.300 1.328 8.553" Properties=species:S:1:pos:R:3 pbc="T T T"
Pr 0.000 0.000 0.000
Sb 6.900 3.984 6.202
Sb 2.300 1.328 2.351
Pd 4.600 2.656 6.967
Pd 6.900 3.984 3.385
Pd 2.300 1.328 5.168
Pd 4.600 2.656 1.586
Pt 4.600 2.656 4.276
```

Output
- Magnetic moment: 0.000 μB/f.u.
- Final energy: -5.468 eV per atom
- Formation energy (no corrections): -0.489 eV/atom
- DOS(E_F): 4.88 states/eV/cell
- SG: R-3m (166)

This record from Alexandria via LeMat-Bulk describes a relaxed Pr2Sb3Pd4Pt crystal. The functional is PBE.

extended XYZ file:
```
10
Lattice="4.395 0.000 0.000 0.000 4.395 0.000 0.000 0.000 11.336" Properties=species:S:1:pos:R:3 pbc="T T T"
Pr 2.197 0.000 2.957
Pr 0.000 2.197 8.379
Sb 0.000 0.000 5.668
Sb 2.197 0.000 9.835
Sb 0.000 2.197 1.501
Pd 2.197 2.197 0.000
Pd 0.000 0.000 0.000
Pd 2.197 0.000 7.282
Pd 0.000 2.197 4.055
Pt 2.197 2.197 5.668
```

Output
- Magnetic moment: 0.000 μB/f.u.
- Final energy: -5.655 eV per atom
- Formation energy (no corrections): -0.782 eV/atom
- DOS(E_F): 6.70 states/eV/cell
- SG: P-4m2 (115)

This record from Alexandria via LeMat-Bulk describes a relaxed Pr2SbPd2Pt5 crystal. The functional is PBE.

extended XYZ file:
```
20
Lattice="4.125 0.000 0.000 0.000 9.692 0.000 0.000 0.000 9.692" Properties=species:S:1:pos:R:3 pbc="T T T"
Pr 0.000 6.504 1.658
Pr 0.000 3.189 8.035
Pr 0.000 1.658 3.189
Pr 0.000 8.035 6.504
Sb 0.000 0.000 0.000
Sb 0.000 4.846 4.846
Pd 0.000 1.231 6.077
Pd 0.000 8.461 3.615
Pd 0.000 6.077 8.461
Pd 0.000 3.615 1.231
Pt 2.063 1.993 0.577
Pt 2.063 7.699 9.115
Pt 2.063 0.577 7.699
Pt 2.063 6.839 4.269
Pt 2.063 9.115 1.993
Pt 2.063 2.853 5.423
Pt 2.063 5.423 6.839
Pt 2.063 4.269 2.853
Pt 2.063 4.846 0.000
Pt 2.063 0.000 4.846
```

Output
- Magnetic moment: 0.000 μB/f.u.
- Final energy: -6.183 eV per atom
- Formation energy (no corrections): -0.755 eV/atom
- DOS(E_F): 4.20 states/eV/cell
- SG: P4/mbm (127)

This record from Alexandria via LeMat-Bulk describes a relaxed PrSbPdPt crystal. The functional is PBE.

extended XYZ file:
```
4
Lattice="-3.494 1.817 -2.991 -4.776 -0.787 1.013 -2.855 3.741 1.519" Properties=species:S:1:pos:R:3 pbc="T T T"
Pr -5.562 2.385 -0.229
Sb 0.000 0.000 0.000
Pd -2.781 1.193 -0.115
Pt -8.343 3.578 -0.344
```

Output
- Magnetic moment: 0.000 μB/f.u.
- Final energy: -5.787 eV per atom
- Formation energy (no corrections): -0.753 eV/atom
- DOS(E_F): 2.76 states/eV/cell
- SG: F-43m (216)

This record from Alexandria via LeMat-Bulk describes a relaxed Pr2SiPd2Pt4 crystal. The functional is PBE.

extended XYZ file:
```
9
Lattice="6.198 -0.321 -0.507 -2.784 5.546 0.507 -2.784 -1.909 5.232" Properties=species:S:1:pos:R:3 pbc="T T T"
Pr 0.315 3.522 1.435
Pr 0.315 -0.206 3.797
Si 0.000 0.000 0.000
Pd -4.044 2.642 4.169
Pd -1.524 0.995 1.571
Pt -2.784 3.544 1.776
Pt -1.204 2.512 3.963
Pt -2.784 0.094 3.963
Pt 1.834 0.804 1.269
```

Output
- Magnetic moment: 0.000 μB/f.u.
- Final energy: -6.426 eV per atom
- Formation energy (no corrections): -0.923 eV/atom
- DOS(E_F): 4.64 states/eV/cell
- SG: I4/mmm (139)

This record from Alexandria via LeMat-Bulk describes a relaxed Pr3Si2PdPt9 crystal. The functional is PBE.

extended XYZ file:
```
15
Lattice="5.720 0.000 0.000 -2.860 4.954 0.000 0.000 0.000 11.041" Properties=species:S:1:pos:R:3 pbc="T T T"
Pr 0.000 3.303 6.461
Pr 0.000 0.000 0.000
Pr 2.860 1.651 4.580
Si 0.000 3.303 1.764
Si 2.860 1.651 9.277
Pd 0.000 0.000 5.520
Pt 4.334 0.801 7.667
Pt 2.860 3.353 7.667
Pt 1.387 0.801 7.667
Pt 1.473 4.153 3.374
Pt 0.000 1.601 3.374
Pt -1.473 4.153 3.374
Pt 2.860 0.000 0.000
Pt -1.430 2.477 0.000
Pt 1.430 2.477 0.000
```

Output
- Magnetic moment: 0.000 μB/f.u.
- Final energy: -6.418 eV per atom
- Formation energy (no corrections): -0.768 eV/atom
- DOS(E_F): 6.07 states/eV/cell
- SG: P-3m1 (164)

This record from Alexandria via LeMat-Bulk describes a relaxed Pr2Si4Pd3Pt crystal. The functional is PBE.

extended XYZ file:
```
10
Lattice="4.271 0.000 0.000 0.000 4.271 0.000 0.000 0.000 9.972" Properties=species:S:1:pos:R:3 pbc="T T T"
Pr 2.135 0.000 2.441
Pr 0.000 2.135 7.530
Si 2.135 2.135 0.000
Si 0.000 0.000 0.000
Si 2.135 0.000 6.283
Si 0.000 2.135 3.688
Pd 0.000 0.000 4.986
Pd 2.135 0.000 8.751
Pd 0.000 2.135 1.221
Pt 2.135 2.135 4.986
```

Output
- Magnetic moment: 0.000 μB/f.u.
- Final energy: -6.226 eV per atom
- Formation energy (no corrections): -0.939 eV/atom
- DOS(E_F): 5.44 states/eV/cell
- SG: P-4m2 (115)

This record from Alexandria via LeMat-Bulk describes a relaxed Pr2Si3PdPt12 crystal. The functional is PBE.

extended XYZ file:
```
18
Lattice="7.725 -0.286 -0.203 3.566 6.859 -0.203 3.566 2.076 6.540" Properties=species:S:1:pos:R:3 pbc="T T T"
Pr 9.098 5.296 3.756
Pr 5.760 3.353 2.378
Si 3.863 -0.143 -0.102
Si 1.783 3.429 -0.102
Si 1.783 1.038 3.270
Pd 0.000 0.000 0.000
Pt 7.191 4.186 5.730
Pt 11.172 6.503 2.140
Pt 9.143 7.656 5.430
Pt 9.457 2.899 2.056
Pt 11.172 4.169 5.430
Pt 7.191 6.792 2.056
Pt 7.667 4.463 0.404
Pt 3.685 2.145 3.995
Pt 5.715 0.993 0.704
Pt 5.400 5.750 4.078
Pt 3.685 4.479 0.704
Pt 7.667 1.856 4.078
```

Output
- Magnetic moment: 0.000 μB/f.u.
- Final energy: -6.164 eV per atom
- Formation energy (no corrections): -0.413 eV/atom
- DOS(E_F): 7.28 states/eV/cell
- SG: R-3m (166)

This record from Alexandria via LeMat-Bulk describes a relaxed Pr2SiPd4Pt2 crystal. The functional is PBE.

extended XYZ file:
```
9
Lattice="6.201 -0.336 -0.530 -2.798 5.544 0.530 -2.798 -1.887 5.240" Properties=species:S:1:pos:R:3 pbc="T T T"
Pr 0.302 3.518 1.442
Pr 0.302 -0.197 3.797
Si 0.000 0.000 0.000
Pd -2.798 3.519 1.813
Pd -1.250 2.507 3.956
Pd -2.798 0.138 3.956
Pd 1.854 0.813 1.283
Pt -4.106 2.683 4.233
Pt -1.490 0.974 1.536
```

Output
- Magnetic moment: 0.000 μB/f.u.
- Final energy: -6.198 eV per atom
- Formation energy (no corrections): -0.883 eV/atom
- DOS(E_F): 4.65 states/eV/cell
- SG: I4/mmm (139)

This record from Alexandria via LeMat-Bulk describes a relaxed PrSi2Pd2Pt crystal. The functional is PBE.

extended XYZ file:
```
6
Lattice="-2.856 3.429 1.086 -1.867 -2.599 3.295 3.842 2.008 3.761" Properties=species:S:1:pos:R:3 pbc="T T T"
Pr 1.921 1.004 1.880
Si -1.428 1.714 0.543
Si -0.933 -1.299 1.647
Pd 0.519 1.921 5.010
Pd -1.400 0.918 3.132
Pt 0.000 0.000 0.000
```

Output
- Magnetic moment: 0.000 μB/f.u.
- Final energy: -5.790 eV per atom
- Formation energy (no corrections): -0.448 eV/atom
- DOS(E_F): 4.04 states/eV/cell
- SG: P4/mmm (123)